{
  "formula": "HoThMnAg",
  "functional": "PBE-GGA",
  "state": "optimized geometry",
  "mass_density_g_cm3": 9.8,
  "spacegroup": "F-43m, No. 216",
  "magmom_total_mub_per_cell": 2.15,
  "formation_energy_mev_per_atom": 59,
  "cell": [[0.0000, 3.6186, 3.6186], [3.6186, 0.0000, 3.6186], [3.6186, 3.6186, 0.0000]],
  "species": ["Ho", "Th", "Mn", "Ag"],
  "frac_coords": [[0.0000, 0.0000, 0.0000], [0.5000, 0.5000, 0.5000], [0.7500, 0.7500, 0.7500], [0.2500, 0.2500, 0.2500]]
}